Below is a geometry-optimized KHgP2O structure, with properties calculated at the PBE level.

theoretical density: 2.2 g cm⁻³
DOS at the Fermi energy: 1.60 states/eV per atom
distance to the lowest polymorph of the same formula: 718 meV/atom

extended XYZ file:
```
5
Lattice="7.073 0.000 0.000 0.000 7.073 0.000 0.000 0.000 4.819" Properties=species:S:1:pos:R:3 pbc="T T T"
K 0.000 0.000 0.000
Hg 3.536 3.536 2.410
P 0.000 3.536 0.000
P 3.536 0.000 0.000
O 0.000 0.000 2.410
```



Below is a geometry-optimized LiTmPd6 structure, with properties calculated at the PBE level.

energy relative to the elements: -55 kJ per mole of atoms
theoretical density: 10.5 g cm⁻³
DOS at the Fermi energy: 1.16 states/eV per atom
distance to the lowest polymorph of the same formula: 0 meV/atom

extended XYZ file:
```
8
Lattice="4.049 0.000 0.000 0.000 4.049 0.000 0.000 0.000 7.825" Properties=species:S:1:pos:R:3 pbc="T T T"
Li 0.000 0.000 0.000
Tm 0.000 0.000 3.912
Pd 0.000 2.025 1.865
Pd 0.000 2.025 5.960
Pd 2.025 0.000 1.865
Pd 2.025 0.000 5.960
Pd 2.025 2.025 0.000
Pd 2.025 2.025 3.912
```



Below is a geometry-optimized SmEr2Se3 structure, with properties calculated at the PBE level.

theoretical density: 8.3 g cm⁻³
DOS at the Fermi energy: 0.44 states/eV per atom
total DFT energy (no corrections): -69.4 eV per cell

extended XYZ file:
```
12
Lattice="4.086 0.000 0.000 0.000 5.761 0.000 0.000 0.000 12.273" Properties=species:S:1:pos:R:3 pbc="T T T"
Sm 0.000 0.000 0.000
Sm 2.043 2.880 6.136
Er 0.000 0.000 4.169
Er 0.000 0.000 8.104
Er 2.043 2.880 1.968
Er 2.043 2.880 10.305
Se 0.000 2.880 0.000
Se 0.000 2.880 3.985
Se 0.000 2.880 8.288
Se 2.043 0.000 2.151
Se 2.043 0.000 6.136
Se 2.043 0.000 10.122
```



Below is a geometry-optimized La2Pm6Ho5 structure, with properties calculated at the PBE level.

energy relative to the elements: 10 kJ per mole of atoms
theoretical density: 7.4 g cm⁻³
DOS at the Fermi energy: 1.26 states/eV per atom

extended XYZ file:
```
26
Lattice="11.866 0.000 0.000 0.000 20.522 0.000 0.000 0.000 3.652" Properties=species:S:1:pos:R:3 pbc="T T T"
La 1.981 4.477 0.000
La 3.952 14.737 0.000
La 7.914 5.784 0.000
La 9.885 16.045 0.000
Pm 0.704 18.961 0.000
Pm 0.935 13.059 0.000
Pm 2.115 7.717 1.826
Pm 3.818 17.978 1.826
Pm 4.998 2.798 0.000
Pm 5.229 8.700 0.000
Pm 6.637 11.822 0.000
Pm 6.868 17.724 0.000
Pm 8.048 2.543 1.826
Pm 9.751 12.804 1.826
Pm 10.931 7.463 0.000
Pm 11.162 1.561 0.000
Ho 0.000 10.261 1.826
Ho 1.123 16.001 1.826
Ho 2.375 1.124 1.826
Ho 3.558 11.385 1.826
Ho 4.810 5.740 1.826
Ho 5.933 0.000 1.826
Ho 7.056 14.782 1.826
Ho 8.308 9.137 1.826
Ho 9.491 19.397 1.826
Ho 10.743 4.521 1.826
```